1.
# Er2P3

A geometry-optimized Er2P3 structure (PBE, the Open Quantum Materials Database).

Calculated values
**E_tot**: -5.875 eV/atom
**Size of the total moment**: 0.000 μB/atom

Lattice parameters (Å, degrees): 15.419 14.779 6.375 83.50 72.24 24.26
Positions (direct):
Er (0.039, 0.039, 0.211)
Er (0.140, 0.140, 0.610)
Er (0.211, 0.211, 0.039)
Er (0.390, 0.390, 0.860)
Er (0.610, 0.610, 0.140)
Er (0.789, 0.789, 0.961)
Er (0.860, 0.860, 0.390)
Er (0.961, 0.961, 0.789)
P (0.051, 0.699, 0.699)
P (0.134, 0.766, 0.143)
P (0.143, 0.456, 0.134)
P (0.234, 0.866, 0.544)
P (0.301, 0.949, 0.949)
P (0.456, 0.143, 0.766)
P (0.544, 0.857, 0.234)
P (0.699, 0.051, 0.051)
P (0.766, 0.134, 0.456)
P (0.857, 0.544, 0.866)
P (0.866, 0.234, 0.857)
P (0.949, 0.301, 0.301)

2.
# Li2GaSnAu2

A geometry-optimized Li2GaSnAu2 structure (PBE, the Open Quantum Materials Database).

Calculated values
**E_tot**: -3.351 eV/atom

Lattice parameters (Å, degrees): 4.642 4.642 5.870 90.00 90.00 120.00
Positions (direct):
Li (0.000, 0.000, 0.246)
Li (0.000, 0.000, 0.754)
Ga (0.333, 0.667, 0.000)
Sn (0.667, 0.333, 0.500)
Au (0.333, 0.667, 0.500)
Au (0.667, 0.333, 0.000)

3.
# HfAg2Sn2

A geometry-optimized HfAg2Sn2 structure (PBE, the Open Quantum Materials Database).

Calculated values
**E_tot**: -4.605 eV/atom
**Size of the total moment**: 0.002 μB/atom
**Offset from the most stable computed form**: 0.00 eV per formula unit

Lattice parameters (Å, degrees): 7.443 7.443 7.443 149.08 149.08 44.29
Positions (direct):
Hf (0.000, 0.000, 0.000)
Ag (0.250, 0.750, 0.500)
Ag (0.750, 0.250, 0.500)
Sn (0.398, 0.398, 0.000)
Sn (0.602, 0.602, 0.000)